(one)
Material: La12Ho2Er5
Method: DFT, PBE
State: optimized geometry

a b c (Å): 13.311 11.747 9.571
angles (deg): 90.00 117.53 90.00
Space group C2/m (No. 12)
Unique sites:
La1 0.060 0.000 0.280 [4 per cell]
La2 0.095 0.500 0.418 [4 per cell]
La3 0.103 0.241 0.905 [8 per cell]
La4 0.216 0.236 0.316 [8 per cell]
Ho1 0.000 0.215 0.500 [4 per cell]
Er1 0.000 0.500 0.000 [2 per cell]
Er2 0.197 0.000 0.730 [4 per cell]
Er3 0.221 0.500 0.865 [4 per cell]

Density   7.09 g/cm³
D(E_F)   58.65 states/eV per cell

(two)
Material: La12Ho2Er5
Method: DFT, PBE
State: optimized geometry

a b c (Å): 19.434 7.611 10.054
angles (deg): 90.00 117.67 90.00
Space group C2/m (No. 12)
Unique sites:
La1 0.002 0.000 0.297 [4 per cell]
La2 0.016 0.500 0.852 [4 per cell]
La3 0.161 0.249 0.345 [8 per cell]
La4 0.164 0.231 0.992 [8 per cell]
Ho1 0.000 0.301 0.500 [4 per cell]
Er1 0.000 0.000 0.000 [2 per cell]
Er2 0.173 0.000 0.668 [4 per cell]
Er3 0.178 0.500 0.690 [4 per cell]

Density   7.14 g/cm³
D(E_F)   60.69 states/eV per cell

Q: Which of them is the least stable? A: (two).

(one)
Material: LaHoEr
Method: DFT, PBE
State: optimized geometry

a b c (Å): 3.5984 3.5984 8.7569
angles (deg): 90.00 90.00 120.00
Space group P3m1 (No. 156)
Unique sites:
La1 0.0000 0.0000 0.0000 [1 per cell]
Ho1 0.6667 0.3333 0.3405 [1 per cell]
Er1 0.3333 0.6667 0.6610 [1 per cell]

Density   7.97 g/cm³
D(E_F)   3.94 states/eV per cell

(two)
Material: LaHoEr
Method: DFT, PBE
State: optimized geometry

a b c (Å): 3.552 20.408 5.454
angles (deg): 90.00 90.00 90.00
Space group Cmcm (No. 63)
Unique sites:
La1 0.000 0.206 0.250 [4 per cell]
Ho1 0.000 0.389 0.250 [4 per cell]
Er1 0.000 0.040 0.250 [4 per cell]

Density   7.91 g/cm³
D(E_F)   20.03 states/eV per cell

(three)
Material: LaHoEr
Method: DFT, PBE
State: optimized geometry

a b c (Å): 6.456 3.532 8.812
angles (deg): 90.00 90.00 90.00
Space group Pmma (No. 51)
Unique sites:
La1 0.250 0.000 0.153 [2 per cell]
Ho1 0.250 0.500 0.799 [2 per cell]
Er1 0.000 0.000 0.500 [2 per cell]

Density   7.79 g/cm³
D(E_F)   12.28 states/eV per cell

Q: Which of them is the least stable? A: (three).

(one)
Material: La2Ho2Er
Method: DFT, PBE
State: optimized geometry

a b c (Å): 15.915 6.385 6.830
angles (deg): 90.00 103.87 90.00
Space group C2/c (No. 15)
Unique sites:
La1 0.199 0.086 0.151 [8 per cell]
Ho1 0.095 0.417 0.450 [8 per cell]
Er1 0.000 0.085 0.750 [4 per cell]

Density   7.64 g/cm³
D(E_F)   33.24 states/eV per cell

(two)
Material: La2Ho2Er
Method: DFT, PBE
State: optimized geometry

a b c (Å): 3.555 5.689 32.866
angles (deg): 90.00 90.00 90.00
Space group Imma (No. 74)
Unique sites:
La1 0.000 0.250 0.185 [4 per cell]
La2 0.000 0.250 0.708 [4 per cell]
Ho1 0.000 0.250 0.883 [4 per cell]
Ho2 0.000 0.250 0.979 [4 per cell]
Er1 0.000 0.250 0.428 [4 per cell]

Density   7.74 g/cm³
D(E_F)   35.41 states/eV per cell

Q: Which of them is the least stable? A: (two).